[1]
Density functional theory data (PBE) for an optimized crystal structure of KTbAsO.

```
KTbAsO
1.0
-3.1887 1.8133 -4.5759
2.5236 -4.0789 -3.3748
-3.7287 -3.3563 1.2683
As K O Tb
2 2 2 2
Cartesian
-0.5906 -3.7068 -1.0573 As
-3.4706 -0.7823 -1.6498 As
-1.6054 0.8967 -2.2842 K
-2.4559 -5.3858 -0.4229 K
0.0000 0.0000 0.0000 O
-0.3326 -1.1328 -3.9754 O
-1.8644 -1.6782 0.6342 Tb
-2.1969 -2.8109 -3.3412 Tb
```

Results
E_tot = -4.82 eV/atom

---

[2]
Density functional theory data (PBE) for an optimized crystal structure of KTmAsO.

```
KTmAsO
1.0
-2.1792 2.3679 1.0955
-5.9504 -4.8742 -1.3014
0.6556 -2.7160 7.1749
As K O Tm
2 2 2 2
Cartesian
-1.5527 -2.3008 1.8845 As
-3.6553 -5.6496 4.9404 As
-6.6892 -3.7355 0.0422 K
-0.9786 -0.6843 4.8068 K
-5.3787 -3.5700 2.2914 O
-1.9231 -2.3659 6.5629 O
-3.4603 -4.3115 2.4359 Tm
-1.5670 -4.3872 6.3657 Tm
```

Results
E_tot = -5.42 eV/atom

---

[3]
Density functional theory data (PBE) for an optimized crystal structure of KTmAsO.

```
KTmAsO
1.0
0.9949 3.3961 1.8159
-3.8107 1.1391 -0.0426
-1.5080 -4.6859 9.5897
As K O Tm
2 2 2 2
Cartesian
-0.4041 -1.2555 2.5694 As
-2.5119 -1.1628 7.9069 As
-0.2566 -0.6449 5.7028 K
-2.6593 -1.7734 4.7735 K
0.4974 1.6980 0.9080 O
-1.9053 0.5695 -0.0213 O
-1.5489 1.8296 1.7830 Tm
-1.3671 -4.2479 8.6933 Tm
```

Results
E_tot = -5.29 eV/atom

---

[4]
Density functional theory data (PBE) for an optimized crystal structure of KTmAsO.

```
KTmAsO
1.0
5.7341 0.0000 0.0000
0.0000 5.7341 0.0000
0.0000 0.0000 5.1732
As K O Tm
2 2 2 2
Cartesian
4.3006 4.3006 2.5567 As
1.4335 1.4335 2.6164 As
1.4335 1.4335 0.0282 K
4.3006 4.3006 5.1450 K
4.3006 1.4335 0.0000 O
1.4335 4.3006 0.0000 O
4.3006 1.4335 2.5866 Tm
1.4335 4.3006 2.5866 Tm
```

Results
E_tot = -4.75 eV/atom

---

[5]
Density functional theory data (PBE) for an optimized crystal structure of KTmAsO.

```
KTmAsO
1.0
4.8707 0.0000 0.0000
0.0000 6.8174 0.0000
0.0000 0.0000 5.9645
As K O Tm
2 2 2 2
Cartesian
0.0000 0.4838 0.0390 As
0.0000 6.3337 3.0212 As
0.0000 4.3133 0.0013 K
0.0000 2.5041 2.9835 K
2.4354 3.4228 1.4755 O
2.4354 3.3946 4.4578 O
2.4354 4.8527 2.9814 Tm
2.4354 1.9647 5.9636 Tm
```

Results
E_tot = -5.38 eV/atom

---

[6]
Density functional theory data (PBE) for an optimized crystal structure of KZnAsO.

```
KZnAsO
1.0
-0.5636 3.3566 2.1084
-3.0380 1.0021 -2.4075
-7.1359 -5.4335 6.7428
As K O Zn
2 2 2 2
Cartesian
-4.6569 1.7800 1.6236 As
-6.0806 -2.8547 4.8201 As
-4.7502 0.0512 4.3508 K
-5.9873 -1.1260 2.0929 K
-1.1822 2.7680 0.9794 O
-2.4194 1.5908 -1.2786 O
-3.0370 3.0134 0.0929 Zn
-7.7005 -4.0881 6.3507 Zn
```

Results
E_tot = -3.04 eV/atom

---

[7]
Density functional theory data (PBE) for an optimized crystal structure of KZnAsO.

```
KZnAsO
1.0
-0.8003 0.0935 2.8397
1.1120 -8.7168 0.6003
6.1569 0.9029 1.7054
As K O Zn
2 2 2 2
Cartesian
3.0608 -2.4511 0.9433 As
6.5249 -5.0230 2.0042 As
3.4930 -5.7640 1.1741 K
6.1116 -1.7074 1.7785 K
2.6895 -7.7301 2.5466 O
4.8187 0.1621 2.8868 O
0.8852 -7.9767 2.0462 Zn
3.0190 -0.1197 2.3889 Zn
```

Results
E_tot = -3.52 eV/atom

---

[8]
Density functional theory data (PBE) for an optimized crystal structure of KZn4As3O12.

```
KZn4As3O12
1.0
0.3761 6.1846 2.0542
1.3639 -3.8987 5.0547
4.5916 -0.9044 -4.5508
As K O Zn
3 1 12 4
Cartesian
1.2607 -1.3620 3.4456 As
1.2630 3.6286 0.7447 As
3.3126 -0.9931 -1.8322 As
3.1694 0.6915 1.2805 K
2.0052 -1.8823 5.0942 O
2.0019 0.2901 4.0627 O
1.9100 2.7816 2.2125 O
2.0491 5.3000 1.1069 O
2.7658 -1.6028 2.4621 O
2.9854 3.4177 -0.0607 O
4.5723 1.7867 3.6107 O
3.7749 0.6651 -1.2602 O
4.1963 -1.7040 -0.2916 O
5.7201 -0.5456 2.0295 O
5.6163 2.2300 0.7874 O
4.9957 -1.4431 -2.5446 O
1.0434 1.9737 3.7679 Zn
3.2097 -2.8106 0.9900 Zn
3.1708 2.4567 -1.7584 Zn
6.2950 1.3735 2.5434 Zn
```

Results
E_tot = -5.34 eV/atom

---

[9]
Density functional theory data (PBE) for an optimized crystal structure of KZnAsO.

```
KZnAsO
1.0
3.7401 0.0000 0.0000
0.0000 3.7401 0.0000
0.0000 0.0000 11.9403
As K O Zn
2 2 2 2
Cartesian
2.8051 2.8051 4.2521 As
0.9350 0.9350 7.6883 As
0.9350 0.9350 1.7890 K
2.8051 2.8051 10.1514 K
2.8051 0.9350 0.0000 O
0.9350 2.8051 0.0000 O
2.8051 0.9350 5.9702 Zn
0.9350 2.8051 5.9702 Zn
```

Results
E_tot = -3.12 eV/atom

---

[10]
Density functional theory data (PBE) for an optimized crystal structure of KZnAsO.

```
KZnAsO
1.0
-0.6121 -0.4492 3.0622
8.3526 -2.8550 1.2508
1.6134 5.1952 1.0846
As K O Zn
2 2 2 2
Cartesian
4.4639 0.2995 0.9362 As
5.7203 2.7434 1.5458 As
1.6597 1.8714 2.2315 K
8.4416 2.4267 3.6686 K
7.6004 -0.2019 3.1149 O
2.4770 4.4227 2.7691 O
6.9040 0.4014 1.4389 Zn
3.8057 4.3338 1.3964 Zn
```

Results
E_tot = -3.77 eV/atom

---

[11]
Density functional theory data (PBE) for an optimized crystal structure of K2ZrAs2O8.

```
K2ZrAs2O8
1.0
-2.9812 2.7620 -3.1944
3.3000 -3.4883 -1.9136
-6.5589 -6.4861 0.5128
As K O Zr
2 2 8 1
Cartesian
-0.0763 -2.6732 -2.2402 As
-6.1638 -4.5392 -2.3549 As
-3.2117 -1.6198 -2.5857 K
-3.0284 -5.5925 -2.0094 K
-0.6746 -1.2069 -1.5770 O
1.3013 -3.1874 -1.3538 O
0.3538 -2.4293 -3.8844 O
-1.2699 -3.8535 -2.1469 O
-4.9702 -3.3588 -2.4482 O
-6.5939 -4.7831 -0.7107 O
-7.5414 -4.0250 -3.2413 O
-5.5655 -6.0055 -3.0181 O
0.0000 0.0000 0.0000 Zr
```

Results
E_tot = -6.54 eV/atom

---

[12]
Density functional theory data (PBE) for an optimized crystal structure of KAsOs.

```
KAsOs
1.0
1.6997 -0.4296 4.1569
-0.2246 3.4514 2.8966
-2.7666 -0.2167 3.5569
As K Os
1 1 1
Cartesian
-0.3229 0.7013 2.6526 As
-0.9687 2.1039 7.9578 K
0.0000 0.0000 0.0000 Os
```

Results
E_tot = -4.49 eV/atom

---

[13]
Density functional theory data (PBE) for an optimized crystal structure of KAs5Os3.

```
KAs5Os3
1.0
-0.9938 -4.7311 -2.8368
3.6880 0.0148 4.2210
-5.7726 -1.8154 5.0500
As K Os
5 1 3
Cartesian
-0.9058 -3.6122 0.8040 As
0.6549 -2.0303 3.1566 As
-2.8863 -0.9077 2.5250 As
-3.7333 -4.5014 3.2777 As
-2.1727 -2.9195 5.6302 As
0.0000 0.0000 0.0000 K
-3.3832 -3.2732 1.1066 Os
-1.0423 -0.9003 4.6355 Os
-1.5392 -3.2658 3.2171 Os
```

Results
E_tot = -6.24 eV/atom

---

[14]
Density functional theory data (PBE) for an optimized crystal structure of KAsPPd2.

```
KAsPPd2
1.0
-0.4639 3.3091 2.9896
-2.3800 -3.3532 1.7875
6.1468 -1.9153 0.8177
As K P Pd
1 1 1 2
Cartesian
0.3650 -0.6807 3.1904 As
3.3029 -1.9513 5.5499 K
2.8008 -1.2288 2.3460 P
2.2972 0.9983 3.2112 Pd
1.1428 -3.0157 2.4869 Pd
```

Results
E_tot = -4.81 eV/atom

---

[15]
Density functional theory data (PBE) for an optimized crystal structure of K2Pr2AsP.

```
K2Pr2AsP
1.0
-2.8108 -3.8264 -2.1591
-1.6279 -1.4737 4.7310
-6.1274 4.8401 -0.6007
As K P Pr
1 2 1 2
Cartesian
-4.2256 3.3379 -0.4142 As
-0.6728 0.5315 -0.0660 K
-7.6855 1.6677 0.7501 K
-4.1847 -1.0976 1.0933 P
-4.4315 0.4772 -1.3762 Pr
-3.8401 1.6535 2.0688 Pr
```

Results
E_tot = -4.32 eV/atom

---

[16]
Density functional theory data (PBE) for an optimized crystal structure of K4AsPPt2.

```
K4AsPPt2
1.0
5.7938 0.0000 0.0000
0.0000 4.9686 3.8177
0.0000 -4.9686 3.8177
As K P Pt
1 4 1 2
Cartesian
0.0000 0.0000 1.9544 As
2.8969 1.7237 2.6778 K
0.0000 1.7089 4.9701 K
2.8969 -1.7237 2.6778 K
0.0000 -1.7089 4.9701 K
2.8969 0.0000 5.7841 P
1.4341 0.0000 7.5712 Pt
4.3597 0.0000 7.5712 Pt
```

Results
E_tot = -3.79 eV/atom

---

[17]
Density functional theory data (PBE) for an optimized crystal structure of K2Sm2AsP.

```
K2Sm2AsP
1.0
5.0797 0.0000 0.0000
0.0000 5.0797 0.0000
0.0000 0.0000 7.8494
As K P Sm
1 2 1 2
Cartesian
0.0000 0.0000 5.4140 As
0.0000 0.0000 0.9110 K
2.5399 2.5399 6.9498 K
2.5399 2.5399 2.5189 P
2.5399 0.0000 3.8772 Sm
0.0000 2.5399 3.8772 Sm
```

Results
E_tot = -4.32 eV/atom

---

[18]
Density functional theory data (PBE) for an optimized crystal structure of K2Tm2AsP.

```
K2Tm2AsP
1.0
4.8693 0.0000 0.0000
0.0000 4.8693 0.0000
0.0000 0.0000 7.8861
As K P Tm
1 2 1 2
Cartesian
0.0000 0.0000 5.4087 As
0.0000 0.0000 0.9495 K
2.4346 2.4346 6.9396 K
2.4346 2.4346 2.5742 P
2.4346 0.0000 3.8932 Tm
0.0000 2.4346 3.8932 Tm
```

Results
E_tot = -4.24 eV/atom

---

[19]
Density functional theory data (PBE) for an optimized crystal structure of K4TmAsP.

```
K4TmAsP
1.0
-4.9438 -2.8178 -1.2225
-0.1517 -3.8518 -4.3608
4.2022 -4.8380 8.0108
As K P Tm
1 4 1 1
Cartesian
0.6879 -1.9416 1.6902 As
-1.1468 -3.7807 -0.5055 K
-2.4396 -7.1479 -1.3701 K
1.5711 -4.4295 3.8585 K
0.2362 -7.6785 2.8907 K
-1.5768 -9.5789 0.7484 P
-0.9053 -11.4734 2.3979 Tm
```

Results
E_tot = -2.99 eV/atom

---

[20]
Density functional theory data (PBE) for an optimized crystal structure of K2Zn2AsP.

```
K2Zn2AsP
1.0
4.1781 0.0000 0.0000
-2.0890 3.6183 0.0000
0.0000 0.0000 10.3080
As K P Zn
1 2 1 2
Cartesian
0.0000 0.0000 0.0000 As
0.0000 2.4122 2.6062 K
0.0000 2.4122 7.7018 K
2.0890 1.2061 5.1540 P
2.0890 1.2061 0.0000 Zn
0.0000 0.0000 5.1540 Zn
```

Results
E_tot = -2.93 eV/atom

---

[21]
Density functional theory data (PBE) for an optimized crystal structure of KZn4As2P.

```
KZn4As2P
1.0
-10.9211 -2.3787 3.6816
-8.7729 -5.1172 5.9443
-9.1813 -1.2018 7.2624
As K P Zn
2 1 1 4
Cartesian
-6.7369 -2.0293 3.9402 As
-22.1384 -6.6685 12.9480 As
-14.4376 -4.3489 8.4441 K
0.0000 0.0000 0.0000 P
-2.3675 -0.7131 1.3847 Zn
-8.7912 -2.6481 5.1417 Zn
-20.0841 -6.0497 11.7465 Zn
-26.5077 -7.9846 15.5035 Zn
```

Results
E_tot = -2.89 eV/atom

---

[22]
Density functional theory data (PBE) for an optimized crystal structure of KAs2Pd5.

```
KAs2Pd5
1.0
-2.7169 4.6143 3.7675
3.9650 5.0589 -1.2466
-4.4735 -3.9770 -2.6530
As K Pd
2 1 5
Cartesian
-3.2935 2.6573 1.1667 As
0.0680 3.0389 -1.2988 As
0.0000 0.0000 0.0000 K
-0.9388 3.4349 1.0754 Pd
-0.5459 6.4805 1.8691 Pd
-3.5952 0.3186 0.5573 Pd
-2.6796 -0.7843 -2.0012 Pd
-2.2866 2.2612 -1.2075 Pd
```

Results
E_tot = -4.93 eV/atom

---

[23]
Density functional theory data (PBE) for an optimized crystal structure of KRb3As2Pd2.

```
KRb3As2Pd2
1.0
6.5048 0.0000 0.0000
0.0000 5.9912 0.0000
-1.7428 0.0000 6.3412
As K Pd Rb
2 1 2 3
Cartesian
1.0922 0.0000 1.6084 As
3.6081 2.9956 4.7806 As
0.2507 2.9956 3.2714 K
-1.6743 1.5128 6.3106 Pd
-1.6743 4.4784 6.3106 Pd
3.0890 2.9956 1.1383 Rb
4.4741 0.0000 3.0630 Rb
1.6349 0.0000 5.2231 Rb
```

Results
E_tot = -3.32 eV/atom

---

[24]
Density functional theory data (PBE) for an optimized crystal structure of K2RbAs2Pd3.

```
K2RbAs2Pd3
1.0
-3.4142 -0.0259 7.0366
-1.1638 5.2215 5.7055
-6.1990 3.4845 3.2560
As K Pd Rb
2 2 3 1
Cartesian
-2.6791 2.1578 3.9771 As
-8.0978 6.5222 12.0211 As
-0.9169 0.7385 1.3611 K
-9.8600 7.9416 14.6371 K
-2.2890 2.5978 6.3711 Pd
-4.8066 1.7293 5.1463 Pd
-3.6814 4.3530 4.4808 Pd
-5.3885 4.3400 7.9991 Rb
```

Results
E_tot = -3.92 eV/atom